DFT (GGA+U) results for NaPr2CoO6 after structural relaxation.

Structure (CIF):
```
data_NaPr2CoO6
_cell_length_a 5.494
_cell_length_b 5.905
_cell_length_c 9.481
_cell_angle_alpha 90.00
_cell_angle_beta 124.90
_cell_angle_gamma 90.00
_space_group_name_H-M_alt 'P 1 21/c 1'
_space_group_IT_number 14
loop_
_space_group_symop_operation_xyz
'x,y,z'
'-x,-y,-z'
'-x,y+1/2,-z+1/2'
'x,-y+1/2,z+1/2'
loop_
_atom_site_label
_atom_site_type_symbol
_atom_site_fract_x
_atom_site_fract_y
_atom_site_fract_z
Na1 Na 0.000 0.000 0.000
Pr1 Pr 0.228 0.071 0.748
Co1 Co 0.500 0.000 0.500
O1 O 0.175 0.174 0.455
O2 O 0.271 0.725 0.442
O3 O 0.373 0.034 0.276
```

- V: 12.61 Å³ per atom
- Electronic total energy: -6.69 eV per atom
- Density: 6.05 g/cm3
- M_tot: 4.124 μB/cell